Record 1
A relaxed structure of DyAl2Ni, computed with PBE. Values from VASP.

Calculated values
**Fermi-level density of states**: 2.26 states/eV/f.u.
**Energy of formation**: -0.617 eV/atom

```
&SYSTEM
  ibrav = 0, nat = 32, ntyp = 3
/
ATOMIC_SPECIES
Dy 162.50 Dy.upf
Al 26.98 Al.upf
Ni 58.69 Ni.upf
ATOMIC_POSITIONS crystal
Dy 0.1051 0.2500 0.2306
Dy 0.1385 0.7500 0.0264
Dy 0.3615 0.2500 0.5264
Dy 0.3949 0.7500 0.7306
Dy 0.6051 0.2500 0.2694
Dy 0.6385 0.7500 0.4736
Dy 0.8615 0.2500 0.9736
Dy 0.8949 0.7500 0.7694
Al 0.0413 0.0567 0.7197
Al 0.0413 0.4433 0.7197
Al 0.2116 0.5546 0.5281
Al 0.2116 0.9454 0.5281
Al 0.2884 0.0546 0.0281
Al 0.2884 0.4454 0.0281
Al 0.4587 0.5567 0.2197
Al 0.4587 0.9433 0.2197
Al 0.5413 0.0567 0.7803
Al 0.5413 0.4433 0.7803
Al 0.7116 0.5546 0.9719
Al 0.7116 0.9454 0.9719
Al 0.7884 0.0546 0.4719
Al 0.7884 0.4454 0.4719
Al 0.9587 0.5567 0.2803
Al 0.9587 0.9433 0.2803
Ni 0.0716 0.7500 0.5099
Ni 0.1821 0.2500 0.7600
Ni 0.3179 0.7500 0.2600
Ni 0.4284 0.2500 0.0099
Ni 0.5716 0.7500 0.9901
Ni 0.6821 0.2500 0.7400
Ni 0.8179 0.7500 0.2400
Ni 0.9284 0.2500 0.4901
CELL_PARAMETERS angstrom
15.1156 0.0000 0.0000
0.0000 6.8598 0.0000
0.0000 0.0000 5.4958
```

=====

Record 2
A relaxed structure of CsPaSn2, computed with PBE. Values from VASP.

Calculated values
**Excess energy over the best structure of this formula in the dataset**: 0 meV per atom
**Fermi-level density of states**: 4.80 states/eV/f.u.
**Energy of formation**: -0.065 eV/atom

```
&SYSTEM
  ibrav = 0, nat = 4, ntyp = 3
/
ATOMIC_SPECIES
Cs 132.91 Cs.upf
Pa 231.04 Pa.upf
Sn 118.71 Sn.upf
ATOMIC_POSITIONS crystal
Cs 0.0000 0.0000 0.0000
Pa 0.0000 0.0000 0.5000
Sn 0.5000 0.5000 0.3285
Sn 0.5000 0.5000 0.6715
CELL_PARAMETERS angstrom
4.1434 0.0000 0.0000
0.0000 4.1434 0.0000
0.0000 0.0000 8.4020
```

=====

Record 3
A relaxed structure of ZrCuPd2Au2, computed with PBE. Values from VASP.

Calculated values
**Fermi-level density of states**: 2.47 states/eV/f.u.
**Energy of formation**: -0.353 eV/atom

```
&SYSTEM
  ibrav = 0, nat = 12, ntyp = 4
/
ATOMIC_SPECIES
Zr 91.22 Zr.upf
Cu 63.55 Cu.upf
Pd 106.42 Pd.upf
Au 196.97 Au.upf
ATOMIC_POSITIONS crystal
Zr 0.0979 0.2500 0.3360
Zr 0.9021 0.7500 0.6640
Cu 0.2907 0.7500 0.0089
Cu 0.7093 0.2500 0.9911
Pd 0.1219 0.7500 0.3390
Pd 0.2151 0.2500 0.0034
Pd 0.7849 0.7500 0.9966
Pd 0.8781 0.2500 0.6610
Au 0.3980 0.0004 0.6881
Au 0.3980 0.4996 0.6881
Au 0.6020 0.9996 0.3119
Au 0.6020 0.5004 0.3119
CELL_PARAMETERS angstrom
5.2492 0.0000 0.0000
0.0000 5.4922 0.0000
-1.6729 0.0000 7.0628
```

=====

Record 4
A relaxed structure of TiReIrI2, computed with PBE. Values from VASP.

Calculated values
**Uncorrected formation energy**: 1.4779 eV per atom
**Fermi-level density of states**: 10.77 states/eV/f.u.

```
&SYSTEM
  ibrav = 0, nat = 5, ntyp = 4
/
ATOMIC_SPECIES
Ti 47.87 Ti.upf
Re 186.21 Re.upf
Ir 192.22 Ir.upf
I 126.90 I.upf
ATOMIC_POSITIONS crystal
Ti 0.0000 0.0000 0.0000
Re 0.5000 0.5000 0.5000
Ir 0.5000 0.5000 0.0000
I 0.0000 0.5000 0.5000
I 0.5000 0.0000 0.5000
CELL_PARAMETERS angstrom
5.2750 0.0000 0.0000
0.0000 5.2750 0.0000
0.0000 0.0000 4.7807
```

=====

Record 5
A relaxed structure of Ca4TlIn3, computed with PBE. Values from VASP.

Calculated values
**Fermi-level density of states**: 4.23 states/eV/f.u.
**Energy of formation**: -0.462 eV/atom

```
&SYSTEM
  ibrav = 0, nat = 8, ntyp = 3
/
ATOMIC_SPECIES
Ca 40.08 Ca.upf
Tl 204.38 Tl.upf
In 114.82 In.upf
ATOMIC_POSITIONS crystal
Ca 0.0000 0.0000 0.0000
Ca 0.0000 0.0000 0.5000
Ca 0.0000 0.5000 0.2505
Ca 0.0000 0.5000 0.7495
Tl 0.5000 0.5000 0.0000
In 0.5000 0.0000 0.2517
In 0.5000 0.0000 0.7483
In 0.5000 0.5000 0.5000
CELL_PARAMETERS angstrom
3.9668 0.0000 0.0000
0.0000 5.3887 0.0000
0.0000 0.0000 10.7846
```

=====

Record 6
A relaxed structure of Cr3BPt, computed with PBE. Values from VASP.

Calculated values
**Excess energy over the best structure of this formula in the dataset**: 1900 meV per atom
**Fermi-level density of states**: 8.91 states/eV/f.u.
**Energy of formation**: 1.958 eV/atom

```
&SYSTEM
  ibrav = 0, nat = 5, ntyp = 3
/
ATOMIC_SPECIES
Cr 52.00 Cr.upf
B 10.81 B.upf
Pt 195.08 Pt.upf
ATOMIC_POSITIONS crystal
Cr 0.0000 0.0000 0.5000
Cr 0.0000 0.5000 0.0000
Cr 0.5000 0.0000 0.0000
B 0.5000 0.5000 0.5000
Pt 0.0000 0.0000 0.0000
CELL_PARAMETERS angstrom
4.8221 0.0000 0.0000
0.0000 4.8221 0.0000
0.0000 0.0000 4.8221
```

=====

Record 7
A relaxed structure of La2InCu3Ge4, computed with PBE. Values from VASP.

Calculated values
**Fermi-level density of states**: 2.52 states/eV/f.u.
**Energy of formation**: -0.486 eV/atom

```
&SYSTEM
  ibrav = 0, nat = 10, ntyp = 4
/
ATOMIC_SPECIES
La 138.91 La.upf
In 114.82 In.upf
Cu 63.55 Cu.upf
Ge 72.64 Ge.upf
ATOMIC_POSITIONS crystal
La 0.0000 0.5000 0.2357
La 0.5000 0.0000 0.7643
In 0.0000 0.0000 0.5000
Cu 0.0000 0.5000 0.8812
Cu 0.5000 0.0000 0.1188
Cu 0.5000 0.5000 0.5000
Ge 0.0000 0.0000 0.0000
Ge 0.0000 0.5000 0.6538
Ge 0.5000 0.0000 0.3462
Ge 0.5000 0.5000 0.0000
CELL_PARAMETERS angstrom
4.3272 0.0000 0.0000
0.0000 4.3272 0.0000
0.0000 0.0000 10.5829
```

=====

Record 8
A relaxed structure of InGaAu2, computed with PBE. Values from VASP.

Calculated values
**Fermi-level density of states**: 1.48 states/eV/f.u.
**Energy of formation**: -0.133 eV/atom

```
&SYSTEM
  ibrav = 0, nat = 4, ntyp = 3
/
ATOMIC_SPECIES
In 114.82 In.upf
Ga 69.72 Ga.upf
Au 196.97 Au.upf
ATOMIC_POSITIONS crystal
In 0.0000 0.0000 0.0000
Ga 0.8307 0.8307 0.8307
Au 0.2397 0.2397 0.2397
Au 0.4243 0.4243 0.4243
CELL_PARAMETERS angstrom
1.9537 1.1280 6.5412
-1.9537 1.1280 6.5412
0.0000 -2.2559 6.5412
```

=====

Record 9
A relaxed structure of NaPdI, computed with PBE. Values from VASP.

Calculated values
**Excess energy over the best structure of this formula in the dataset**: 38 meV per atom
**Uncorrected formation energy**: -0.4920 eV per atom
**Fermi-level density of states**: 0.00 states/eV/f.u.

```
&SYSTEM
  ibrav = 0, nat = 6, ntyp = 3
/
ATOMIC_SPECIES
Na 22.99 Na.upf
Pd 106.42 Pd.upf
I 126.90 I.upf
ATOMIC_POSITIONS crystal
Na 0.0000 0.0000 0.0000
Na 0.2309 0.2309 0.5545
Pd 0.5510 0.5510 0.4679
Pd 0.8792 0.8792 0.3437
I 0.3578 0.3578 0.1958
I 0.6426 0.6426 0.7861
CELL_PARAMETERS angstrom
4.1945 -2.4332 0.0000
4.1945 2.4332 0.0000
-1.1935 0.0000 8.2055
```

=====

Record 10
A relaxed structure of Sc2PtAu, computed with PBE. Values from VASP.

Calculated values
**Fermi-level density of states**: 2.94 states/eV/f.u.
**Energy of formation**: -1.007 eV/atom

```
&SYSTEM
  ibrav = 0, nat = 4, ntyp = 3
/
ATOMIC_SPECIES
Sc 44.96 Sc.upf
Pt 195.08 Pt.upf
Au 196.97 Au.upf
ATOMIC_POSITIONS crystal
Sc 0.0000 0.5000 0.0000
Sc 0.5000 0.0000 0.0000
Pt 0.0000 0.0000 0.4984
Au 0.5000 0.5000 0.5004
CELL_PARAMETERS angstrom
4.7390 0.0000 0.0000
0.0000 4.7390 0.0000
0.0000 0.0000 3.3555
```

=====

Record 11
A relaxed structure of Sc6TcO12, computed with PBE. Values from VASP.

Calculated values
**Uncorrected formation energy**: -3.0465 eV per atom
**Fermi-level density of states**: 4.96 states/eV/f.u.

```
&SYSTEM
  ibrav = 0, nat = 19, ntyp = 3
/
ATOMIC_SPECIES
Sc 44.96 Sc.upf
Tc 98.00 Tc.upf
O 16.00 O.upf
ATOMIC_POSITIONS crystal
Sc 0.1097 0.8280 0.6441
Sc 0.1720 0.3559 0.8903
Sc 0.3559 0.8903 0.1720
Sc 0.6441 0.1097 0.8280
Sc 0.8280 0.6441 0.1097
Sc 0.8903 0.1720 0.3559
Tc 0.5000 0.5000 0.5000
O 0.0812 0.9131 0.3222
O 0.0869 0.6778 0.9188
O 0.1947 0.4028 0.5427
O 0.3222 0.0812 0.9131
O 0.4028 0.5427 0.1947
O 0.4573 0.8053 0.5972
O 0.5427 0.1947 0.4028
O 0.5972 0.4573 0.8053
O 0.6778 0.9188 0.0869
O 0.8053 0.5972 0.4573
O 0.9131 0.3222 0.0812
O 0.9188 0.0869 0.6778
CELL_PARAMETERS angstrom
4.6575 2.6890 2.9318
-4.6575 2.6890 2.9318
0.0000 -5.3780 2.9318
```

=====

Record 12
A relaxed structure of CeDySb2Rh5, computed with PBE. Values from VASP.

Calculated values
**Uncorrected formation energy**: -0.3562 eV per atom
**Fermi-level density of states**: 9.60 states/eV/f.u.

```
&SYSTEM
  ibrav = 0, nat = 9, ntyp = 4
/
ATOMIC_SPECIES
Ce 140.12 Ce.upf
Dy 162.50 Dy.upf
Sb 121.76 Sb.upf
Rh 102.91 Rh.upf
ATOMIC_POSITIONS crystal
Ce 0.0000 0.0000 0.0000
Dy 0.5000 0.5000 0.5000
Sb 0.0000 0.0000 0.2937
Sb 0.0000 0.0000 0.7063
Rh 0.0000 0.0000 0.5000
Rh 0.0000 0.5000 0.1569
Rh 0.0000 0.5000 0.8431
Rh 0.5000 0.0000 0.1569
Rh 0.5000 0.0000 0.8431
CELL_PARAMETERS angstrom
3.9883 0.0000 0.0000
0.0000 3.9883 0.0000
0.0000 0.0000 12.4359
```